# Hg2Pt (PBE, relaxed)
# Formation energy from the elements ... 93 meV per atom
# Crystal system ... monoclinic
# Total magnetic moment ... 0.00 μB/atom
# DFT total energy ... -12.7 eV per cell
data_Hg2Pt
_chemical_formula_sum 'Hg4 Pt2'
_space_group_name_H-M_alt 'P 1'
_space_group_IT_number 1
_space_group_name_Hall 'P 1'
_cell_length_a 5.395
_cell_length_b 5.395
_cell_length_c 9.159
_cell_angle_alpha 65.89
_cell_angle_beta 65.89
_cell_angle_gamma 31.69
loop_
_atom_site_label
_atom_site_type_symbol
_atom_site_fract_x
_atom_site_fract_y
_atom_site_fract_z
Hg1 Hg 0.992 0.992 0.679
Hg2 Hg 0.658 0.658 0.914
Hg3 Hg 0.342 0.342 0.086
Hg4 Hg 0.008 0.008 0.321
Pt1 Pt 0.716 0.716 0.392
Pt2 Pt 0.284 0.284 0.608